Entry 1:
Entry from Alexandria via LeMat-Bulk: crystalline RbCuNF2 at its relaxed geometry (PBE-GGA).

Output
Crystal system   tetragonal
Uncorrected formation energy   0.482 eV/atom

The structure in CIF format:
```
data_RbCuNF2
_chemical_formula_sum 'Rb1 Cu1 N1 F2'
_cell_length_a 5.148
_cell_length_b 5.148
_cell_length_c 5.223
_cell_angle_alpha 90.00
_cell_angle_beta 90.00
_cell_angle_gamma 90.00
_symmetry_space_group_name_H-M 'P 4/m m m'
_symmetry_Int_Tables_number 123
_symmetry_space_group_name_Hall '-P 4 2'
loop_
_atom_site_label
_atom_site_type_symbol
_atom_site_fract_x
_atom_site_fract_y
_atom_site_fract_z
_atom_site_occupancy
Rb1 Rb 0.000 0.000 0.000 1
Cu1 Cu 0.500 0.500 0.500 1
N1 N 0.000 0.000 0.500 1
F1 F 0.000 0.500 0.000 1
```

---

Entry 2:
Entry from Alexandria via LeMat-Bulk: crystalline NdTmIn at its relaxed geometry (PBE-GGA).

Output
Crystal system   trigonal

The structure in CIF format:
```
data_NdTmIn
_chemical_formula_sum 'Nd1 Tm1 In1'
_cell_length_a 5.2622
_cell_length_b 5.2622
_cell_length_c 3.7298
_cell_angle_alpha 90.00
_cell_angle_beta 90.00
_cell_angle_gamma 120.00
_symmetry_space_group_name_H-M 'P 3 m 1'
_symmetry_Int_Tables_number 156
_symmetry_space_group_name_Hall 'P 3 -2"'
loop_
_atom_site_label
_atom_site_type_symbol
_atom_site_fract_x
_atom_site_fract_y
_atom_site_fract_z
_atom_site_occupancy
Nd1 Nd 0.0000 0.0000 0.0000 1
Tm1 Tm 0.6667 0.3333 0.5433 1
In1 In 0.3333 0.6667 0.3963 1
```

---

no.,polymorph energy (0 for the lowest one) (meV per atom),uncorrected energy (eV per atom),magnetization (μB/cell)
1,1332,-2.945,3.026
2,101,-4.228,0.000